[1]
HfScTa | GGA-PBE | optimized geometry

Properties
E above lowest polymorph = 0.000 eV/atom
ρ = 10.732 g cm⁻³
Total energy = -9.2713 eV/atom
V = 20.86 Å³/atom
DFT formation energy = 0.11 eV per atom

a = 3.0114 Å, b = 4.8982 Å, c = 4.8982 Å
α = 120.00°, β = 90.00°, γ = 90.00°
Last column: nearest neighbours and their distance in Å.
Atoms (fractional coordinates):
Sc 0.1666 0.0000 0.0000  3 Ta 2.83, 2 Sc 3.01
Hf 0.6665 0.6667 0.3333  2 Hf 3.01, 6 Ta 3.20, 6 Sc 3.20
Ta 0.1669 0.3333 0.6667  3 Sc 2.83, 2 Ta 3.01

[2]
Hf2ScTa2 | GGA-PBE | optimized geometry

Properties
ρ = 11.755 g cm⁻³
Total energy = -9.7656 eV/atom
V = 21.58 Å³/atom
DFT formation energy = 0.22 eV per atom

a = 7.7327 Å, b = 7.7327 Å, c = 3.6092 Å
α = 90.00°, β = 90.00°, γ = 90.00°
Last column: nearest neighbours and their distance in Å.
Atoms (fractional coordinates):
Sc 0.0000 0.0000 0.0000  4 Ta 3.05, 8 Hf 3.40
Sc 0.5000 0.5000 0.0000  4 Ta 3.05, 8 Hf 3.40
Hf 0.1666 0.6666 0.5000  6 Ta 2.89-2.91
Hf 0.6666 0.8334 0.5000  6 Ta 2.89-2.91
Hf 0.8334 0.3334 0.5000  6 Ta 2.89-2.91
Hf 0.3334 0.1666 0.5000  6 Ta 2.89-2.91
Ta 0.3732 0.8732 0.0000  1 Ta 2.77, 6 Hf 2.89-2.91, 2 Sc 3.05
Ta 0.8732 0.6268 0.0000  1 Ta 2.77, 6 Hf 2.89-2.91, 2 Sc 3.05
Ta 0.6268 0.1268 0.0000  1 Ta 2.77, 6 Hf 2.89-2.91, 2 Sc 3.05
Ta 0.1268 0.3732 0.0000  1 Ta 2.77, 6 Hf 2.89-2.91, 2 Sc 3.05

[3]
HfScTa2 | GGA-PBE | optimized geometry

Properties
E above lowest polymorph = 0.000 eV/atom
ρ = 11.932 g cm⁻³
Total energy = -9.7780 eV/atom
V = 20.36 Å³/atom
DFT formation energy = 0.22 eV per atom

a = 3.0553 Å, b = 3.0553 Å, c = 10.2296 Å
α = 81.41°, β = 81.41°, γ = 60.00°
Last column: nearest neighbours and their distance in Å.
Atoms (fractional coordinates):
Sc 0.0000 0.0000 0.0000  6 Sc 3.06, 6 Ta 3.10
Hf 0.5000 0.5000 0.5000  6 Ta 3.05, 6 Hf 3.06
Ta 0.7509 0.7509 0.7474  3 Hf 3.05, 6 Ta 3.06, 3 Sc 3.10
Ta 0.2491 0.2491 0.2526  3 Hf 3.05, 6 Ta 3.06, 3 Sc 3.10

[4]
Hf12Sc5Ta3 | GGA-PBE | optimized geometry

Properties
ρ = 8.404 g cm⁻³
Total energy = -8.0773 eV/atom
V = 28.74 Å³/atom
DFT formation energy = 1.26 eV per atom

a = 14.4017 Å, b = 14.4017 Å, c = 14.4017 Å
α = 109.47°, β = 109.47°, γ = 109.47°
Last column: nearest neighbours and their distance in Å.
Atoms (fractional coordinates):
Ta 0.7500 0.3750 0.1250  4 Hf 2.75
Ta 0.8750 0.7500 0.1250  4 Hf 2.75
Ta 0.3750 0.7500 0.6250  4 Hf 2.75
Ta 0.2500 0.1250 0.3750  4 Hf 2.75
Ta 0.8750 0.1250 0.2500  4 Hf 2.75
Ta 0.3750 0.6250 0.2500  4 Hf 2.75
Ta 0.6250 0.3750 0.7500  4 Hf 2.75
Ta 0.1250 0.8750 0.7500  4 Hf 2.75
Ta 0.7500 0.8750 0.6250  4 Hf 2.75
Ta 0.6250 0.2500 0.3750  4 Hf 2.75
Ta 0.1250 0.2500 0.8750  4 Hf 2.75
Ta 0.2500 0.6250 0.8750  4 Hf 2.75
Sc 0.1250 0.3750 0.2500  4 Hf 3.00
Sc 0.0000 0.5000 0.0000  6 Hf 2.84
Sc 0.0000 0.0000 0.0000  6 Hf 2.84
Sc 0.3750 0.2500 0.1250  4 Hf 3.00
Sc 0.5000 0.0000 0.5000  6 Hf 2.84
Sc 0.5000 0.5000 0.0000  6 Hf 2.84
Sc 0.1250 0.7500 0.3750  4 Hf 3.00
Sc 0.7500 0.1250 0.8750  4 Hf 3.00
Sc 0.7500 0.6250 0.3750  4 Hf 3.00
Sc 0.3750 0.1250 0.7500  4 Hf 3.00
Sc 0.6250 0.8750 0.2500  4 Hf 3.00
Sc 0.5000 0.5000 0.5000  6 Hf 2.84
Sc 0.5000 0.0000 0.0000  6 Hf 2.84
Sc 0.0000 0.0000 0.5000  6 Hf 2.84
Sc 0.2500 0.3750 0.6250  4 Hf 3.00
Sc 0.2500 0.8750 0.1250  4 Hf 3.00
Sc 0.0000 0.5000 0.5000  6 Hf 2.84
Sc 0.8750 0.2500 0.6250  4 Hf 3.00
Sc 0.6250 0.7500 0.8750  4 Hf 3.00
Sc 0.8750 0.6250 0.7500  4 Hf 3.00
Hf 0.7337 0.1432 0.0817  1 Ta 2.75, 1 Hf 2.83, 2 Sc 2.84-3.00
Hf 0.3480 0.5817 0.4386  1 Ta 2.75, 1 Hf 2.83, 2 Sc 2.84-3.00
Hf 0.9183 0.3568 0.2663  1 Ta 2.75, 1 Hf 2.83, 2 Sc 2.84-3.00
Hf 0.5817 0.2337 0.1432  1 Ta 2.75, 1 Hf 2.83, 2 Sc 2.84-3.00
Hf 0.5905 0.7337 0.6520  1 Ta 2.75, 1 Hf 2.83, 2 Sc 2.84-3.00
Hf 0.9183 0.5614 0.1520  1 Ta 2.75, 1 Hf 2.83, 2 Sc 2.84-3.00
Hf 0.3480 0.7663 0.4095  1 Ta 2.75, 1 Hf 2.83, 2 Sc 2.84-3.00
Hf 0.0614 0.9095 0.1432  1 Ta 2.75, 1 Hf 2.83, 2 Sc 2.84-3.00
Hf 0.5614 0.9183 0.6520  1 Ta 2.75, 1 Hf 2.83, 2 Sc 2.84-3.00
Hf 0.7337 0.5905 0.1520  1 Ta 2.75, 1 Hf 2.83, 2 Sc 2.84-3.00
Hf 0.7663 0.4183 0.3568  1 Ta 2.75, 1 Hf 2.83, 2 Sc 2.84-3.00
Hf 0.8480 0.9386 0.0817  1 Ta 2.75, 1 Hf 2.83, 2 Sc 2.84-3.00
Hf 0.1432 0.7337 0.5817  1 Ta 2.75, 1 Hf 2.83, 2 Sc 2.84-3.00
Hf 0.3568 0.4386 0.0905  1 Ta 2.75, 1 Hf 2.83, 2 Sc 2.84-3.00
Hf 0.0905 0.9386 0.3568  1 Ta 2.75, 1 Hf 2.83, 2 Sc 2.84-3.00
Hf 0.4095 0.1432 0.5614  1 Ta 2.75, 1 Hf 2.83, 2 Sc 2.84-3.00
Hf 0.0905 0.1520 0.2337  1 Ta 2.75, 1 Hf 2.83, 2 Sc 2.84-3.00
Hf 0.4183 0.6520 0.0614  1 Ta 2.75, 1 Hf 2.83, 2 Sc 2.84-3.00
Hf 0.8480 0.9095 0.2663  1 Ta 2.75, 1 Hf 2.83, 2 Sc 2.84-3.00
Hf 0.1432 0.4095 0.0614  1 Ta 2.75, 1 Hf 2.83, 2 Sc 2.84-3.00
Hf 0.3568 0.9183 0.7663  1 Ta 2.75, 1 Hf 2.83, 2 Sc 2.84-3.00
Hf 0.5614 0.6432 0.4095  1 Ta 2.75, 1 Hf 2.83, 2 Sc 2.84-3.00
Hf 0.9386 0.8480 0.5817  1 Ta 2.75, 1 Hf 2.83, 2 Sc 2.84-3.00
Hf 0.7663 0.3480 0.9095  1 Ta 2.75, 1 Hf 2.83, 2 Sc 2.84-3.00
Hf 0.4386 0.3568 0.5905  1 Ta 2.75, 1 Hf 2.83, 2 Sc 2.84-3.00
Hf 0.0614 0.1520 0.4183  1 Ta 2.75, 1 Hf 2.83, 2 Sc 2.84-3.00
Hf 0.2337 0.6520 0.0905  1 Ta 2.75, 1 Hf 2.83, 2 Sc 2.84-3.00
Hf 0.1520 0.0905 0.7337  1 Ta 2.75, 1 Hf 2.83, 2 Sc 2.84-3.00
Hf 0.6432 0.0817 0.2337  1 Ta 2.75, 1 Hf 2.83, 2 Sc 2.84-3.00
Hf 0.8568 0.5905 0.9386  1 Ta 2.75, 1 Hf 2.83, 2 Sc 2.84-3.00
Hf 0.5817 0.3480 0.9386  1 Ta 2.75, 1 Hf 2.83, 2 Sc 2.84-3.00
Hf 0.5905 0.8568 0.4386  1 Ta 2.75, 1 Hf 2.83, 2 Sc 2.84-3.00
Hf 0.9095 0.8480 0.7663  1 Ta 2.75, 1 Hf 2.83, 2 Sc 2.84-3.00
Hf 0.9095 0.0614 0.6432  1 Ta 2.75, 1 Hf 2.83, 2 Sc 2.84-3.00
Hf 0.8568 0.2663 0.4183  1 Ta 2.75, 1 Hf 2.83, 2 Sc 2.84-3.00
Hf 0.1520 0.0614 0.9183  1 Ta 2.75, 1 Hf 2.83, 2 Sc 2.84-3.00
Hf 0.6432 0.5614 0.9095  1 Ta 2.75, 1 Hf 2.83, 2 Sc 2.84-3.00
Hf 0.4386 0.0817 0.3480  1 Ta 2.75, 1 Hf 2.83, 2 Sc 2.84-3.00
Hf 0.2663 0.4095 0.8480  1 Ta 2.75, 1 Hf 2.83, 2 Sc 2.84-3.00
Hf 0.2337 0.5817 0.6432  1 Ta 2.75, 1 Hf 2.83, 2 Sc 2.84-3.00
Hf 0.9386 0.0905 0.8568  1 Ta 2.75, 1 Hf 2.83, 2 Sc 2.84-3.00
Hf 0.6520 0.2337 0.5905  1 Ta 2.75, 1 Hf 2.83, 2 Sc 2.84-3.00
Hf 0.4183 0.7663 0.8568  1 Ta 2.75, 1 Hf 2.83, 2 Sc 2.84-3.00
Hf 0.0817 0.4386 0.8480  1 Ta 2.75, 1 Hf 2.83, 2 Sc 2.84-3.00
Hf 0.4095 0.2663 0.3480  1 Ta 2.75, 1 Hf 2.83, 2 Sc 2.84-3.00
Hf 0.0817 0.6432 0.7337  1 Ta 2.75, 1 Hf 2.83, 2 Sc 2.84-3.00
Hf 0.6520 0.4183 0.5614  1 Ta 2.75, 1 Hf 2.83, 2 Sc 2.84-3.00
Hf 0.2663 0.8568 0.9183  1 Ta 2.75, 1 Hf 2.83, 2 Sc 2.84-3.00